# 1
VASP calculation (PBE) on crystalline Cd5SbAu4 at its relaxed geometry.

Properties
* formation energy without anion corrections: -122 meV/atom
* space-group type: C2/m
* V: 227 Å³ per cell
* crystal system: monoclinic
* E_tot: -0.085 Ha/atom
* total moment: 0.000 μB per cell

Lattice parameters (Å, degrees): 4.8466 6.5641 7.5397 89.34 108.75 90.00
Sites, in units of the cell vectors:
Cd  0.8274  0.0000  0.6547
Cd  0.8250  0.4915  0.6501
Cd  0.1750  0.5085  0.3499
Cd  0.5000  0.5000  0.0000
Cd  0.1726  0.0000  0.3453
Au  0.6684  0.7524  0.3367
Au  0.3316  0.2476  0.6633
Au  0.9918  0.7395  0.9836
Au  0.0082  0.2605  0.0164
Sb  0.5000  0.0000  0.0000

# 2
VASP calculation (PBE) on crystalline PaCoI6 at its relaxed geometry.

Properties
* formation energy without anion corrections: -667 meV/atom
* space-group type: P-1
* V: 434 Å³ per cell
* crystal system: triclinic
* E_tot: -0.143 Ha/atom
* total moment: 1.936 μB per cell

Lattice parameters (Å, degrees): 8.0457 9.5222 6.6796 108.06 85.75 116.62
Each line ends with the local moment (μB).
Sites, in units of the cell vectors:
I  0.7380  0.7393  0.1767  0.03
I  0.0409  0.7584  0.6209  0.03
I  0.9591  0.2416  0.3791  0.03
I  0.3022  0.0189  0.2498  0.03
I  0.2620  0.2607  0.8233  0.03
I  0.6978  0.9811  0.7502  0.03
Pa  0.0000  0.0000  0.0000  -0.23
Co  0.0000  0.0000  0.5000  1.89

# 3
VASP calculation (PBE) on crystalline TaAl2Ir2 at its relaxed geometry.

Properties
* space-group type: P4/mbm
* V: 151 Å³ per cell
* crystal system: tetragonal
* E_tot: -0.295 Ha/atom
* formation energy from the elements: -610.0 meV per atom
* distance to the lowest polymorph of the same formula: 0.0 kJ per mole of atoms
* total moment: 0.000 μB per cell

Lattice parameters (Å, degrees): 7.3302 7.3302 2.8041 90.00 90.00 90.00
Sites, in units of the cell vectors:
Al  0.8734  0.6266  0.0000
Al  0.1266  0.3734  0.0000
Al  0.3734  0.8734  0.0000
Al  0.6266  0.1266  0.0000
Ir  0.3287  0.1713  0.5000
Ir  0.8287  0.3287  0.5000
Ir  0.6713  0.8287  0.5000
Ir  0.1713  0.6713  0.5000
Ta  0.0000  0.0000  0.0000
Ta  0.5000  0.5000  0.0000